Entry 1:
Material: Ho2Zn5Co5
Method: DFT, PBE
State: relaxed

## Properties
Formation energy ... -16.8 kJ/mol of atoms
Space group ... Pmmm, No. 47
Fermi-level density of states ... 10.69 states/eV/f.u.

Lattice parameters (Å, degrees): 4.051 5.023 8.876 90.00 90.00 90.00
Sites, in units of the cell vectors:
Ho 0.000 0.000 0.000
Ho 0.000 0.500 0.500
Zn 0.000 0.000 0.324
Zn 0.000 0.000 0.676
Zn 0.000 0.500 0.169
Zn 0.000 0.500 0.831
Zn 0.500 0.000 0.500
Co 0.500 0.246 0.240
Co 0.500 0.246 0.760
Co 0.500 0.500 0.000
Co 0.500 0.754 0.240
Co 0.500 0.754 0.760

=====

Entry 2:
Material: SrTbDy4Se8
Method: DFT, PBE
State: relaxed

## Properties
Raw formation energy ... -1.794 eV/atom
Space group ... R3m, No. 160
Fermi-level density of states ... 4.05 states/eV/f.u.

Lattice parameters (Å, degrees): 8.539 8.539 8.539 59.93 59.93 59.93
Sites, in units of the cell vectors:
Sr 0.000 0.000 0.000
Tb 0.373 0.373 0.373
Dy 0.373 0.373 0.880
Dy 0.373 0.880 0.373
Dy 0.750 0.750 0.750
Dy 0.880 0.373 0.373
Se 0.138 0.138 0.138
Se 0.138 0.138 0.584
Se 0.138 0.584 0.138
Se 0.147 0.618 0.618
Se 0.584 0.138 0.138
Se 0.617 0.617 0.617
Se 0.618 0.147 0.618
Se 0.618 0.618 0.147

=====

Entry 3:
Material: Th4Ni2Hg
Method: DFT, PBE
State: relaxed

## Properties
Formation energy ... -15.5 kJ/mol of atoms
Space group ... R-3m, No. 166
Fermi-level density of states ... 9.22 states/eV/f.u.

Lattice parameters (Å, degrees): 12.939 12.939 12.939 18.55 18.55 18.55
Sites, in units of the cell vectors:
Th 0.107 0.107 0.107
Th 0.301 0.301 0.301
Th 0.699 0.699 0.699
Th 0.893 0.893 0.893
Ni 0.402 0.402 0.402
Ni 0.598 0.598 0.598
Hg 0.500 0.500 0.500

=====

Entry 4:
Material: Pa2CdSn9
Method: DFT, PBE
State: relaxed

## Properties
Formation energy ... -13.8 kJ/mol of atoms
Space group ... P4/mmm, No. 123
Fermi-level density of states ... 9.40 states/eV/f.u.

Lattice parameters (Å, degrees): 4.588 4.588 14.789 90.00 90.00 90.00
Sites, in units of the cell vectors:
Pa 0.000 0.000 0.154
Pa 0.000 0.000 0.846
Cd 0.000 0.000 0.500
Sn 0.000 0.500 0.000
Sn 0.000 0.500 0.326
Sn 0.000 0.500 0.674
Sn 0.500 0.000 0.000
Sn 0.500 0.000 0.326
Sn 0.500 0.000 0.674
Sn 0.500 0.500 0.163
Sn 0.500 0.500 0.500
Sn 0.500 0.500 0.837

=====

- Among the records above, which one has the lowest Fermi-level density of states?
  SrTbDy4Se8

=====

- Among the records above, which one has the lowest Fermi-level density of states?
  SrTbDy4Se8